1.
VASP calculation (SCAN) on TaTcSe2 at its PBEsol-relaxed geometry.

Values from the calculation:
ΔE_f (raw) (meV/atom): 129
Calculated volume (Å³/f.u.): 64.11
Offset from the most stable computed form (eV per formula unit): 2.29
E_tot (eV/atom): -35.321

a b c (Å): 3.0658 3.0658 23.6289
angles (deg): 90.00 90.00 120.00
With the nearest neighbours (Å) after each atom.
Space group R-3m (No. 166, hexagonal axes)
Asymmetric unit:
Ta (0.0000, 0.0000, 0.0000) x3  6 Se 2.70
Tc (0.0000, 0.0000, 0.5000) x3  6 Se 2.60
Se (0.0000, 0.0000, 0.2472) x6  3 Tc 2.60, 3 Ta 2.70

=====

2.
VASP calculation (SCAN) on TaTiSe3 at its PBEsol-relaxed geometry.

Values from the calculation:
ΔE_f (raw) (meV/atom): 316
Calculated volume (Å³/f.u.): 109.64
E_tot (eV/atom): -28.254

a b c (Å): 4.7862 4.7862 4.7862
angles (deg): 90.00 90.00 90.00
With the nearest neighbours (Å) after each atom.
Space group Pm-3m (No. 221)
Asymmetric unit:
Ta (0.0000, 0.0000, 0.0000) x1  12 Se 3.38
Ti (0.5000, 0.5000, 0.5000) x1  6 Se 2.39
Se (0.0000, 0.5000, 0.5000) x3  2 Ti 2.39

=====

3.
VASP calculation (SCAN) on TaTiSe4 at its PBEsol-relaxed geometry.

Values from the calculation:
ΔE_f (raw) (meV/atom): -1033
Calculated volume (Å³/f.u.): 126.35
E_tot (eV/atom): -28.187

a b c (Å): 5.9801 3.4509 6.1227
angles (deg): 90.00 90.10 90.00
With the nearest neighbours (Å) after each atom.
Space group P2/m (No. 10)
Asymmetric unit:
Ta (0.0000, 0.0000, 0.0000) x1  6 Se 2.57-2.58
Ti (0.5000, 0.5000, 0.0000) x1  6 Se 2.54-2.55
Se (0.1708, 0.5000, 0.2652) x2  1 Ti 2.55, 2 Ta 2.58
Se (0.3363, 0.0000, 0.7404) x2  2 Ti 2.54, 1 Ta 2.57

=====

4.
VASP calculation (SCAN) on TaTi3Se at its PBEsol-relaxed geometry.

Values from the calculation:
ΔE_f (raw) (meV/atom): 190
Calculated volume (Å³/f.u.): 94.62
E_tot (eV/atom): -26.760

a b c (Å): 4.5568 4.5568 4.5568
angles (deg): 90.00 90.00 90.00
With the nearest neighbours (Å) after each atom.
Space group Pm-3m (No. 221)
Asymmetric unit:
Ta (0.0000, 0.0000, 0.0000) x1  12 Ti 3.22
Ti (0.0000, 0.5000, 0.5000) x3  2 Se 2.28
Se (0.5000, 0.5000, 0.5000) x1  6 Ti 2.28

=====

5.
VASP calculation (SCAN) on TaTlSe2 at its PBEsol-relaxed geometry.

Values from the calculation:
ΔE_f (raw) (meV/atom): 435
Calculated volume (Å³/f.u.): 79.37
E_tot (eV/atom): -44.339

a b c (Å): 4.9099 4.9099 3.2926
angles (deg): 90.00 90.00 90.00
With the nearest neighbours (Å) after each atom.
Space group P4/mmm (No. 123)
Asymmetric unit:
Ta (0.0000, 0.0000, 0.0000) x1  8 Se 2.96, 2 Ta 3.29
Tl (0.5000, 0.5000, 0.0000) x1  8 Se 2.96, 2 Tl 3.29
Se (0.0000, 0.5000, 0.5000) x2  4 Ta 2.96, 4 Tl 2.96, 2 Se 3.29

=====

6.
VASP calculation (SCAN) on TaTlSe2 at its PBEsol-relaxed geometry.

Values from the calculation:
ΔE_f (raw) (meV/atom): 779
Calculated volume (Å³/f.u.): 81.27
E_tot (eV/atom): -43.996

a b c (Å): 6.8758 6.8758 6.8758
angles (deg): 90.00 90.00 90.00
With the nearest neighbours (Å) after each atom.
Space group F-43m (No. 216)
Asymmetric unit:
Ta (0.0000, 0.0000, 0.0000) x4  4 Tl 2.98, 4 Se 2.98
Tl (0.2500, 0.2500, 0.7500) x4  4 Ta 2.98, 4 Se 2.98
Se (0.0000, 0.0000, 0.5000) x4  4 Tl 2.98, 4 Se 2.98
Se (0.2500, 0.2500, 0.2500) x4  4 Ta 2.98, 4 Se 2.98

=====

7.
VASP calculation (SCAN) on Ta2TlSe at its PBEsol-relaxed geometry.

Values from the calculation:
ΔE_f (raw) (meV/atom): 225
Calculated volume (Å³/f.u.): 73.72
Offset from the most stable computed form (eV per formula unit): 0.00
E_tot (eV/atom): -56.175

a b c (Å): 3.1092 3.1092 26.4166
angles (deg): 90.00 90.00 120.00
With the nearest neighbours (Å) after each atom.
Space group R-3m (No. 166, hexagonal axes)
Asymmetric unit:
Ta (0.0000, 0.0000, 0.2415) x6  3 Se 2.67
Tl (0.0000, 0.0000, 0.0000) x3  6 Ta 3.02, 6 Tl 3.11
Se (0.0000, 0.0000, 0.5000) x3  6 Ta 2.67

=====

8.
VASP calculation (SCAN) on Ta2TlSe at its PBEsol-relaxed geometry.

Values from the calculation:
ΔE_f (raw) (meV/atom): 766
Calculated volume (Å³/f.u.): 76.56
Offset from the most stable computed form (eV per formula unit): 2.16
E_tot (eV/atom): -55.634

a b c (Å): 6.7405 6.7405 6.7405
angles (deg): 90.00 90.00 90.00
With the nearest neighbours (Å) after each atom.
Space group F-43m (No. 216)
Asymmetric unit:
Ta (0.0000, 0.0000, 0.0000) x4  4 Ta 2.92, 4 Se 2.92
Ta (0.2500, 0.2500, 0.2500) x4  4 Ta 2.92, 4 Tl 2.92
Tl (0.0000, 0.0000, 0.5000) x4  4 Ta 2.92, 4 Se 2.92
Se (0.2500, 0.2500, 0.7500) x4  4 Ta 2.92, 4 Tl 2.92

=====

9.
VASP calculation (SCAN) on Ta2TlSe at its PBEsol-relaxed geometry.

Values from the calculation:
ΔE_f (raw) (meV/atom): 318
Calculated volume (Å³/f.u.): 75.37
Offset from the most stable computed form (eV per formula unit): 0.37
E_tot (eV/atom): -56.083

a b c (Å): 9.7454 3.1300 5.0695
angles (deg): 90.00 102.88 90.00
With the nearest neighbours (Å) after each atom.
Space group Cm (No. 8)
Asymmetric unit:
Ta (0.0000, 0.0000, 0.0000) x2  2 Se 2.64, 3 Tl 2.81-2.89
Ta (0.2409, 0.0000, 0.6882) x2  3 Se 2.68-2.81, 4 Tl 2.97-2.99
Tl (0.2520, 0.5000, 0.1960) x2  7 Ta 2.81-2.99, 2 Tl 3.13
Se (0.0123, 0.5000, 0.5857) x2  5 Ta 2.64-2.81

=====

10.
VASP calculation (SCAN) on Ta3VSe6 at its PBEsol-relaxed geometry.

Values from the calculation:
ΔE_f (raw) (meV/atom): -926
Calculated volume (Å³/f.u.): 193.07
E_tot (eV/atom): -34.697

a b c (Å): 5.9406 5.9406 12.6342
angles (deg): 90.00 90.00 120.00
With the nearest neighbours (Å) after each atom.
Space group P6_322 (No. 182)
Asymmetric unit:
Ta (0.0000, 0.0000, 0.0000) x2  6 Se 2.58
Ta (0.3333, 0.6667, 0.0005) x4  6 Se 2.58-2.61
V (0.3333, 0.6667, 0.2500) x2  6 Se 2.50
Se (0.0050, 0.3333, 0.8680) x12  1 V 2.50, 3 Ta 2.58-2.61

=====

11.
VASP calculation (SCAN) on TaW2Se at its PBEsol-relaxed geometry.

Values from the calculation:
ΔE_f (raw) (meV/atom): 416
Calculated volume (Å³/f.u.): 64.62
E_tot (eV/atom): -56.093

a b c (Å): 3.1292 4.3182 4.7823
angles (deg): 90.00 90.00 90.00
With the nearest neighbours (Å) after each atom.
Space group Pmmm (No. 47)
Asymmetric unit:
Ta (0.0000, 0.0000, 0.0000) x1  4 Se 2.67, 4 W 2.86
W (0.0000, 0.5000, 0.5000) x1  4 W 2.67, 4 Se 2.86
W (0.5000, 0.0000, 0.5000) x1  4 W 2.67, 4 Ta 2.86
Se (0.5000, 0.5000, 0.0000) x1  4 Ta 2.67, 4 W 2.86

=====

12.
VASP calculation (SCAN) on TaWSe4 at its PBEsol-relaxed geometry.

Values from the calculation:
ΔE_f (raw) (meV/atom): -669
Calculated volume (Å³/f.u.): 125.38
E_tot (eV/atom): -36.766

a b c (Å): 3.3501 3.3501 12.8990
angles (deg): 90.00 90.00 120.00
With the nearest neighbours (Å) after each atom.
Space group P-6m2 (No. 187)
Asymmetric unit:
Ta (0.0000, 0.0000, 0.0000) x1  6 Se 2.57
W (0.0000, 0.0000, 0.5000) x1  6 Se 2.54
Se (0.3333, 0.6667, 0.1314) x2  3 Ta 2.57
Se (0.6667, 0.3333, 0.3725) x2  3 W 2.54

=====

13.
VASP calculation (SCAN) on TaW2Se at its PBEsol-relaxed geometry.

Values from the calculation:
ΔE_f (raw) (meV/atom): 356
Calculated volume (Å³/f.u.): 66.31
E_tot (eV/atom): -56.153

a b c (Å): 3.2215 4.7566 8.6552
angles (deg): 90.00 90.00 90.00
With the nearest neighbours (Å) after each atom.
Space group Cmm2 (No. 35)
Asymmetric unit:
Ta (0.0000, 0.0000, 0.0000) x2  2 Se 2.66, 2 W 2.73, 4 Ta 2.87
W (0.0000, 0.0000, 0.4936) x2  6 W 2.62-2.87, 2 Se 2.78
W (0.0000, 0.5000, 0.2551) x2  6 W 2.62-2.87, 2 Ta 2.73
Se (0.0000, 0.5000, 0.7560) x2  2 Ta 2.66, 2 W 2.78, 4 Se 2.87

=====

14.
VASP calculation (SCAN) on Ta2WSe at its PBEsol-relaxed geometry.

Values from the calculation:
ΔE_f (raw) (meV/atom): 285
Calculated volume (Å³/f.u.): 67.65
E_tot (eV/atom): -55.449

a b c (Å): 3.0496 4.2422 5.2293
angles (deg): 90.00 90.00 90.00
With the nearest neighbours (Å) after each atom.
Space group Pmm2 (No. 25)
Asymmetric unit:
Ta (0.0000, 0.0000, 0.0000) x1  2 W 2.58-2.65, 4 Se 2.88
Ta (0.5000, 0.5000, 0.2716) x1  2 Se 2.60-2.63, 4 W 2.86
W (0.0000, 0.0000, 0.4929) x1  6 Ta 2.58-2.86
Se (0.5000, 0.5000, 0.7695) x1  6 Ta 2.60-2.88